# 1
ScRuF2 after structural relaxation, computed with PBE-GGA.

Values from the calculation:
Calculated volume, A^3/atom: 14.1
Uncorrected formation energy, eV/atom: -1.113
Crystal system: trigonal
Raw total energy, eV per cell: -23.80

Lattice parameters (Å, degrees): 4.3642 4.3642 4.3642 58.36 58.36 58.36
With the nearest neighbours (Å) after each atom.
Sites, in units of the cell vectors:
Sc: 0.0000 0.0000 0.0000  2 F 2.08
Ru: 0.5000 0.5000 0.5000  6 F 2.47
F: 0.8074 0.8074 0.8074  1 Sc 2.08
F: 0.1926 0.1926 0.1926  1 Sc 2.08



# 2
Sc2RuF2 after structural relaxation, computed with PBE-GGA.

Values from the calculation:
Calculated volume, A^3/atom: 13.8
Uncorrected formation energy, eV/atom: -2.219
Crystal system: tetragonal
Raw total energy, eV per cell: -36.78

Lattice parameters (Å, degrees): 3.3681 3.3681 6.5495 75.10 75.10 90.00
With the nearest neighbours (Å) after each atom.
Sites, in units of the cell vectors:
Sc: 0.3723 0.3723 0.2555  4 F 2.25
Sc: 0.6278 0.6278 0.7445  4 F 2.25
Ru: 0.0000 0.0000 0.0000  8 Sc 2.85
F: 0.7500 0.2500 0.5000  4 Sc 2.25, 4 F 2.38
F: 0.2500 0.7500 0.5000  4 Sc 2.25, 4 F 2.38



# 3
ScRu3F after structural relaxation, computed with PBE-GGA.

Values from the calculation:
Calculated volume, A^3/atom: 15.1
Uncorrected formation energy, eV/atom: 0.460
Crystal system: cubic
Raw total energy, eV per cell: -33.73

Lattice parameters (Å, degrees): 4.2276 4.2276 4.2276 90.00 90.00 90.00
With the nearest neighbours (Å) after each atom.
Sites, in units of the cell vectors:
Sc: 0.5000 0.5000 0.5000  12 Ru 2.99
Ru: 0.0000 0.5000 0.0000  2 F 2.11
Ru: 0.0000 0.0000 0.5000  2 F 2.11
Ru: 0.5000 0.0000 0.0000  2 F 2.11
F: 0.0000 0.0000 0.0000  6 Ru 2.11



# 4
Sc2RuF after structural relaxation, computed with PBE-GGA.

Values from the calculation:
Calculated volume, A^3/atom: 17.2
Uncorrected formation energy, eV/atom: -1.200
Crystal system: tetragonal
Raw total energy, eV per cell: -57.22

Lattice parameters (Å, degrees): 6.2410 6.2410 5.6572 56.52 56.52 90.00
With the nearest neighbours (Å) after each atom.
Sites, in units of the cell vectors:
Sc: 0.5745 0.1250 0.2500  2 F 2.18
Sc: 0.1755 0.6250 0.2500  2 F 2.18
Sc: 0.3750 0.4255 0.7500  2 F 2.18
Sc: 0.8750 0.8245 0.7500  2 F 2.18
Ru: 0.0000 0.0000 0.0000  4 Sc 2.60
Ru: 0.7500 0.2500 0.5000  4 Sc 2.60
F: 0.5000 0.5000 0.0000  4 Sc 2.18
F: 0.2500 0.7500 0.5000  4 Sc 2.18